# 1
Compound: Ce4Pu2Ga3
Source: the Alexandria database
Functional: PBE
Structure: relaxed

## Properties
Energy of formation   -0.3270 eV/atom
V   214.80 Å³/f.u.
Total magnetic moment   1.42 μB per atom
Distance to the lowest polymorph of the same formula   0.012 eV per atom

The structure in CIF format:
```
data_Ce4Pu2Ga3
_chemical_formula_sum 'Ce4 Pu2 Ga3'
_cell_length_a 4.147
_cell_length_b 7.229
_cell_length_c 8.098
_cell_angle_alpha 112.92
_cell_angle_beta 104.84
_cell_angle_gamma 90.00
_symmetry_space_group_name_H-M 'P 1'
_symmetry_Int_Tables_number 1
loop_
_symmetry_equiv_pos_as_xyz
'x,y,z'
loop_
_atom_site_label
_atom_site_fract_x
_atom_site_fract_y
_atom_site_fract_z
_atom_site_occupancy
Ga1 0.000 0.000 0.000 1
Ga2 0.864 0.340 0.728 1
Ga3 0.136 0.660 0.272 1
Ce1 0.476 0.670 0.951 1
Ce2 0.208 0.278 0.415 1
Ce3 0.524 0.330 0.049 1
Ce4 0.792 0.722 0.585 1
Pu1 0.660 0.990 0.320 1
Pu2 0.340 0.010 0.680 1
```



# 2
Compound: Ce6PuGa3
Source: the Alexandria database
Functional: PBE
Structure: relaxed

## Properties
Energy of formation   -0.1951 eV/atom
V   274.29 Å³/f.u.
Total magnetic moment   0.00 μB per atom
Distance to the lowest polymorph of the same formula   0.064 eV per atom

The structure in CIF format:
```
data_Ce6PuGa3
_chemical_formula_sum 'Ce12 Pu2 Ga6'
_cell_length_a 8.282
_cell_length_b 8.282
_cell_length_c 8.282
_cell_angle_alpha 98.25
_cell_angle_beta 98.25
_cell_angle_gamma 98.25
_symmetry_space_group_name_H-M 'P 1'
_symmetry_Int_Tables_number 1
loop_
_symmetry_equiv_pos_as_xyz
'x,y,z'
loop_
_atom_site_label
_atom_site_fract_x
_atom_site_fract_y
_atom_site_fract_z
_atom_site_occupancy
Ce1 0.941 0.701 0.000 1
Ce2 0.427 0.209 0.555 1
Ce3 0.209 0.555 0.427 1
Ce4 0.445 0.573 0.791 1
Ce5 0.791 0.445 0.573 1
Ce6 0.573 0.791 0.445 1
Ce7 0.555 0.427 0.209 1
Ce8 0.059 0.299 0.000 1
Ce9 0.701 0.000 0.941 1
Ce10 0.000 0.941 0.701 1
Ce11 0.000 0.059 0.299 1
Ce12 0.299 0.000 0.059 1
Pu1 0.000 0.000 0.000 1
Pu2 0.500 0.500 0.500 1
Ga1 0.354 0.892 0.698 1
Ga2 0.892 0.698 0.354 1
Ga3 0.108 0.302 0.646 1
Ga4 0.698 0.354 0.892 1
Ga5 0.646 0.108 0.302 1
Ga6 0.302 0.646 0.108 1
```



# 3
Compound: CePuGa2
Source: the Alexandria database
Functional: PBE
Structure: relaxed

## Properties
Energy of formation   -0.3594 eV/atom
V   93.00 Å³/f.u.
Total magnetic moment   1.30 μB per atom
Distance to the lowest polymorph of the same formula   0.047 eV per atom

The structure in CIF format:
```
data_CePuGa2
_chemical_formula_sum 'Ce1 Pu1 Ga2'
_cell_length_a 5.085
_cell_length_b 5.085
_cell_length_c 5.085
_cell_angle_alpha 60.00
_cell_angle_beta 60.00
_cell_angle_gamma 60.00
_symmetry_space_group_name_H-M 'P 1'
_symmetry_Int_Tables_number 1
loop_
_symmetry_equiv_pos_as_xyz
'x,y,z'
loop_
_atom_site_label
_atom_site_fract_x
_atom_site_fract_y
_atom_site_fract_z
_atom_site_occupancy
Ce1 0.500 0.500 0.500 1
Ga1 0.250 0.250 0.250 1
Ga2 0.750 0.750 0.750 1
Pu1 0.000 0.000 0.000 1
```



# 4
Compound: Ce2Pu2Ga3
Source: the Alexandria database
Functional: PBE
Structure: relaxed

## Properties
Energy of formation   -0.3113 eV/atom
V   162.63 Å³/f.u.
Total magnetic moment   1.79 μB per atom

The structure in CIF format:
```
data_Ce2Pu2Ga3
_chemical_formula_sum 'Ce2 Pu2 Ga3'
_cell_length_a 4.396
_cell_length_b 3.385
_cell_length_c 11.150
_cell_angle_alpha 90.00
_cell_angle_beta 78.63
_cell_angle_gamma 90.00
_symmetry_space_group_name_H-M 'P 1'
_symmetry_Int_Tables_number 1
loop_
_symmetry_equiv_pos_as_xyz
'x,y,z'
loop_
_atom_site_label
_atom_site_fract_x
_atom_site_fract_y
_atom_site_fract_z
_atom_site_occupancy
Ga1 0.852 0.000 0.295 1
Ga2 0.148 0.000 0.705 1
Ga3 0.000 0.000 0.000 1
Pu1 0.703 0.500 0.595 1
Pu2 0.297 0.500 0.405 1
Ce1 0.427 0.500 0.147 1
Ce2 0.573 0.500 0.853 1
```



# 5
Compound: Ce2PuGa6
Source: the Alexandria database
Functional: PBE
Structure: relaxed

## Properties
Energy of formation   -0.3082 eV/atom
V   207.07 Å³/f.u.
Total magnetic moment   0.76 μB per atom
Distance to the lowest polymorph of the same formula   0.183 eV per atom

The structure in CIF format:
```
data_Ce2PuGa6
_chemical_formula_sum 'Ce2 Pu1 Ga6'
_cell_length_a 4.517
_cell_length_b 7.064
_cell_length_c 7.726
_cell_angle_alpha 117.20
_cell_angle_beta 106.99
_cell_angle_gamma 90.00
_symmetry_space_group_name_H-M 'P 1'
_symmetry_Int_Tables_number 1
loop_
_symmetry_equiv_pos_as_xyz
'x,y,z'
loop_
_atom_site_label
_atom_site_fract_x
_atom_site_fract_y
_atom_site_fract_z
_atom_site_occupancy
Ce1 0.891 0.891 0.782 1
Ce2 0.109 0.109 0.218 1
Ga1 0.690 0.885 0.380 1
Ga2 0.690 0.495 0.380 1
Ga3 0.310 0.115 0.620 1
Ga4 0.500 0.202 0.000 1
Ga5 0.500 0.798 0.000 1
Ga6 0.310 0.505 0.620 1
Pu1 0.000 0.500 0.000 1
```



# 6
Compound: Ce5PuGa3
Source: the Alexandria database
Functional: PBE
Structure: relaxed

## Properties
Energy of formation   -0.2951 eV/atom
V   221.10 Å³/f.u.
Total magnetic moment   1.09 μB per atom

The structure in CIF format:
```
data_Ce5PuGa3
_chemical_formula_sum 'Ce10 Pu2 Ga6'
_cell_length_a 8.321
_cell_length_b 8.321
_cell_length_c 8.684
_cell_angle_alpha 118.63
_cell_angle_beta 118.63
_cell_angle_gamma 90.00
_symmetry_space_group_name_H-M 'P 1'
_symmetry_Int_Tables_number 1
loop_
_symmetry_equiv_pos_as_xyz
'x,y,z'
loop_
_atom_site_label
_atom_site_fract_x
_atom_site_fract_y
_atom_site_fract_z
_atom_site_occupancy
Ga1 0.892 0.608 0.000 1
Ga2 0.108 0.392 0.000 1
Ga3 0.608 0.108 0.000 1
Ga4 0.250 0.250 0.500 1
Ga5 0.750 0.750 0.500 1
Ga6 0.392 0.892 0.000 1
Ce1 0.046 0.546 0.702 1
Ce2 0.657 0.157 0.702 1
Ce3 0.843 0.954 0.298 1
Ce4 0.500 0.500 0.000 1
Ce5 0.000 0.000 0.000 1
Ce6 0.343 0.843 0.298 1
Ce7 0.546 0.657 0.702 1
Ce8 0.157 0.046 0.702 1
Ce9 0.454 0.343 0.298 1
Ce10 0.954 0.454 0.298 1
Pu1 0.250 0.750 0.500 1
Pu2 0.750 0.250 0.500 1
```



# 7
Compound: Ce5PuGa4
Source: the Alexandria database
Functional: PBE
Structure: relaxed

## Properties
Energy of formation   -0.3294 eV/atom
V   240.85 Å³/f.u.
Total magnetic moment   0.47 μB per atom

The structure in CIF format:
```
data_Ce5PuGa4
_chemical_formula_sum 'Ce5 Pu1 Ga4'
_cell_length_a 3.862
_cell_length_b 3.862
_cell_length_c 16.145
_cell_angle_alpha 90.00
_cell_angle_beta 90.00
_cell_angle_gamma 90.00
_symmetry_space_group_name_H-M 'P 1'
_symmetry_Int_Tables_number 1
loop_
_symmetry_equiv_pos_as_xyz
'x,y,z'
loop_
_atom_site_label
_atom_site_fract_x
_atom_site_fract_y
_atom_site_fract_z
_atom_site_occupancy
Pu1 0.000 0.000 0.000 1
Ga1 0.000 0.000 0.204 1
Ga2 0.000 0.000 0.403 1
Ga3 0.000 0.000 0.597 1
Ga4 0.000 0.000 0.796 1
Ce1 0.500 0.500 0.112 1
Ce2 0.500 0.500 0.888 1
Ce3 0.500 0.500 0.305 1
Ce4 0.500 0.500 0.695 1
Ce5 0.500 0.500 0.500 1
```



# 8
Compound: Ce3Pu2Ga2
Source: the Alexandria database
Functional: PBE
Structure: relaxed

## Properties
Energy of formation   -0.2233 eV/atom
V   162.98 Å³/f.u.
Total magnetic moment   1.75 μB per atom

The structure in CIF format:
```
data_Ce3Pu2Ga2
_chemical_formula_sum 'Ce3 Pu2 Ga2'
_cell_length_a 4.836
_cell_length_b 5.869
_cell_length_c 6.303
_cell_angle_alpha 90.71
_cell_angle_beta 90.00
_cell_angle_gamma 114.33
_symmetry_space_group_name_H-M 'P 1'
_symmetry_Int_Tables_number 1
loop_
_symmetry_equiv_pos_as_xyz
'x,y,z'
loop_
_atom_site_label
_atom_site_fract_x
_atom_site_fract_y
_atom_site_fract_z
_atom_site_occupancy
Pu1 0.128 0.256 0.382 1
Pu2 0.872 0.744 0.618 1
Ce1 0.293 0.585 0.802 1
Ce2 0.000 0.000 0.000 1
Ce3 0.707 0.415 0.198 1
Ga1 0.584 0.167 0.692 1
Ga2 0.416 0.833 0.308 1
```



# 9
Compound: Ce9Pu2Ga3
Source: the Alexandria database
Functional: PBE
Structure: relaxed

## Properties
Energy of formation   -0.2181 eV/atom
V   338.67 Å³/f.u.
Total magnetic moment   0.00 μB per atom

The structure in CIF format:
```
data_Ce9Pu2Ga3
_chemical_formula_sum 'Ce18 Pu4 Ga6'
_cell_length_a 8.782
_cell_length_b 8.782
_cell_length_c 8.782
_cell_angle_alpha 90.00
_cell_angle_beta 90.00
_cell_angle_gamma 90.00
_symmetry_space_group_name_H-M 'P 1'
_symmetry_Int_Tables_number 1
loop_
_symmetry_equiv_pos_as_xyz
'x,y,z'
loop_
_atom_site_label
_atom_site_fract_x
_atom_site_fract_y
_atom_site_fract_z
_atom_site_occupancy
Ce1 0.750 0.589 0.911 1
Ce2 0.606 0.432 0.254 1
Ce3 0.746 0.394 0.568 1
Ce4 0.754 0.932 0.106 1
Ce5 0.254 0.606 0.432 1
Ce6 0.568 0.746 0.394 1
Ce7 0.894 0.246 0.068 1
Ce8 0.394 0.568 0.746 1
Ce9 0.932 0.106 0.754 1
Ce10 0.589 0.911 0.750 1
Ce11 0.068 0.894 0.246 1
Ce12 0.246 0.068 0.894 1
Ce13 0.432 0.254 0.606 1
Ce14 0.089 0.250 0.411 1
Ce15 0.911 0.750 0.589 1
Ce16 0.106 0.754 0.932 1
Ce17 0.250 0.411 0.089 1
Ce18 0.411 0.089 0.250 1
Ga1 0.430 0.750 0.070 1
Ga2 0.750 0.070 0.430 1
Ga3 0.070 0.430 0.750 1
Ga4 0.570 0.250 0.930 1
Ga5 0.250 0.930 0.570 1
Ga6 0.930 0.570 0.250 1
Pu1 0.359 0.359 0.359 1
Pu2 0.141 0.141 0.141 1
Pu3 0.859 0.859 0.859 1
Pu4 0.641 0.641 0.641 1
```



# 10
Compound: CePuGa
Source: the Alexandria database
Functional: PBE
Structure: relaxed

## Properties
Energy of formation   0.2530 eV/atom
V   73.38 Å³/f.u.
Total magnetic moment   1.53 μB per atom
Distance to the lowest polymorph of the same formula   0.559 eV per atom

The structure in CIF format:
```
data_CePuGa
_chemical_formula_sum 'Ce2 Pu2 Ga2'
_cell_length_a 3.026
_cell_length_b 3.026
_cell_length_c 16.167
_cell_angle_alpha 95.37
_cell_angle_beta 95.37
_cell_angle_gamma 90.00
_symmetry_space_group_name_H-M 'P 1'
_symmetry_Int_Tables_number 1
loop_
_symmetry_equiv_pos_as_xyz
'x,y,z'
loop_
_atom_site_label
_atom_site_fract_x
_atom_site_fract_y
_atom_site_fract_z
_atom_site_occupancy
Pu1 0.210 0.210 0.420 1
Pu2 0.790 0.790 0.580 1
Ga1 0.540 0.540 0.080 1
Ga2 0.460 0.460 0.920 1
Ce1 0.634 0.634 0.267 1
Ce2 0.366 0.366 0.733 1
```



Q: Which formula does entry 2 have?
A: Ce6PuGa3



Q: Among the records above, which one has the highest energy of formation?
A: CePuGa



Q: energy of formation of number 3 (CePuGa2)?
A: -0.3594 eV/atom